The following is a PBE calculation of an optimized crystal structure of CsBe3Ag, from Alexandria via LeMat-Bulk.

Geometry as POSCAR:
```
CsBe3Ag
1.0
4.7209 0.0000 0.0000
0.0000 4.7209 0.0000
0.0000 0.0000 4.7209
Cs Be Ag
1 3 1
Direct
0.5000 0.5000 0.5000
0.0000 0.5000 0.0000
0.0000 0.0000 0.5000
0.5000 0.0000 0.0000
0.0000 0.0000 0.0000
```

Calculated values
- Energy relative to the elements: 885.9 meV per atom
- Relative energy among the computed polymorphs: 0 meV per atom


The following is a PBE calculation of an optimized crystal structure of Ni7C, from Alexandria via LeMat-Bulk.

Geometry as POSCAR:
```
Ni7C
1.0
-0.7862 -4.7194 0.9009
-0.7731 -1.5113 4.5629
-4.4263 -1.5170 1.3448
Ni C
7 1
Direct
0.5000 0.5000 0.0000
0.5000 0.0000 0.5000
0.5000 0.0000 0.0000
0.0000 0.0000 0.5000
0.0000 0.5000 0.0000
0.0000 0.5000 0.5000
0.5000 0.5000 0.5000
0.0000 0.0000 0.0000
```

Calculated values
- Energy relative to the elements: 480.1 meV per atom


The following is a PBE calculation of an optimized crystal structure of CePmIrRh, from Alexandria via LeMat-Bulk.

Geometry as POSCAR:
```
CePmIrRh
1.0
3.8928 0.0000 0.0000
0.0000 4.1308 0.0000
-1.9464 0.0000 5.5509
Ce Pm Ir Rh
1 1 1 1
Direct
0.8621 0.5000 0.7242
0.1403 0.0000 0.2807
0.4079 0.0000 0.8158
0.5897 0.5000 0.1793
```

Calculated values
- Energy relative to the elements: -761.4 meV per atom
- Relative energy among the computed polymorphs: 0 meV per atom


The following is a PBE calculation of an optimized crystal structure of Rb3Ce3TiSe8, from Alexandria via LeMat-Bulk.

Geometry as POSCAR:
```
Rb3Ce3TiSe8
1.0
8.4335 0.0001 -0.0001
-4.2167 7.3037 -0.0333
-0.0001 -4.8347 8.1763
Rb Ce Ti Se
3 3 1 8
Direct
0.0000 0.0000 0.0000
0.0000 0.5000 0.0000
0.5000 0.5000 0.0000
0.5000 0.0000 0.5000
0.5000 0.5000 0.5000
0.0000 0.5000 0.5000
0.0000 0.0000 0.5000
0.2659 0.5318 0.2978
0.7341 0.4682 0.7022
0.7853 0.5706 0.3160
0.2147 0.4294 0.6840
0.7854 0.0306 0.3161
0.2146 0.9694 0.6839
0.2452 0.0306 0.3161
0.7548 0.9694 0.6839
```

Calculated values
- Formation energy without anion corrections: -1537 meV/atom


The following is a PBE calculation of an optimized crystal structure of CrHgRh2, from Alexandria via LeMat-Bulk.

Geometry as POSCAR:
```
CrHgRh2
1.0
-0.3300 1.7601 -2.2315
-2.7975 0.1954 0.5678
1.3572 6.0788 4.5938
Cr Hg Rh
1 1 2
Direct
0.0000 0.0000 0.4707
0.5000 0.5000 0.7496
0.0000 0.0000 0.0198
0.5000 0.5000 0.2599
```

Calculated values
- Energy relative to the elements: 226.7 meV per atom


The following is a PBE calculation of an optimized crystal structure of SnPbSe2, from Alexandria via LeMat-Bulk.

Geometry as POSCAR:
```
SnPbSe2
1.0
-4.8652 6.8984 4.3888
-1.3359 8.5391 3.9771
-3.8906 8.6229 1.0133
Pb Sn Se
1 1 2
Direct
0.0000 0.0000 0.0000
0.5000 0.5000 0.5000
0.8925 0.8925 0.8925
0.1075 0.1075 0.1075
```

Calculated values
- Formation energy without anion corrections: -256 meV/atom
- Relative energy among the computed polymorphs: 242 meV per atom


The following is a PBE calculation of an optimized crystal structure of ZrPbBr2, from Alexandria via LeMat-Bulk.

Geometry as POSCAR:
```
ZrPbBr2
1.0
-5.9056 3.3734 -2.5643
-4.2205 2.3939 -5.4118
-6.3149 -2.6890 -2.8120
Pb Br Zr
1 2 1
Direct
0.5615 0.5615 0.5234
0.9068 0.9068 0.1095
0.7582 0.7582 0.8019
0.2735 0.2735 0.0652
```

Calculated values
- Formation energy without anion corrections: -677 meV/atom
- Relative energy among the computed polymorphs: 97 meV per atom


The following is a PBE calculation of an optimized crystal structure of ScCdHg6, from Alexandria via LeMat-Bulk.

Geometry as POSCAR:
```
ScCdHg6
1.0
4.4716 0.0000 0.0000
0.0000 4.4716 0.0000
0.0000 0.0000 9.2772
Sc Cd Hg
1 1 6
Direct
0.0000 0.0000 0.0000
0.0000 0.0000 0.5000
0.5000 0.5000 0.0000
0.5000 0.5000 0.5000
0.5000 0.0000 0.2427
0.5000 0.0000 0.7573
0.0000 0.5000 0.2427
0.0000 0.5000 0.7573
```

Calculated values
- Energy relative to the elements: -79.3 meV per atom


The following is a PBE calculation of an optimized crystal structure of K2MoBr, from Alexandria via LeMat-Bulk.

Geometry as POSCAR:
```
K2MoBr
1.0
11.9928 0.0000 0.0000
0.0000 11.9928 0.0000
5.9964 5.9964 2.7256
Mo K Br
2 4 2
Direct
0.0000 0.0000 0.0000
0.7500 0.2500 0.5000
0.4766 0.1250 0.2500
0.2734 0.6250 0.2500
0.3750 0.5234 0.7500
0.8750 0.7266 0.7500
0.5000 0.5000 0.0000
0.2500 0.7500 0.5000
```

Calculated values
- Formation energy without anion corrections: 560 meV/atom
- Relative energy among the computed polymorphs: 220 meV per atom


The following is a PBE calculation of an optimized crystal structure of Rb3Tc2Cl8, from Alexandria via LeMat-Bulk.

Geometry as POSCAR:
```
Rb3Tc2Cl8
1.0
7.0693 0.0000 2.6707
3.0302 6.3869 2.6707
0.4511 0.2853 9.4973
Rb Tc Cl
3 2 8
Direct
0.0000 0.0000 0.0000
0.2264 0.2264 0.3209
0.7736 0.7736 0.6791
0.4565 0.4565 0.6305
0.5435 0.5435 0.3695
0.3502 0.3502 0.9493
0.6498 0.6498 0.0507
0.2661 0.8028 0.6651
0.8028 0.2661 0.6651
0.2661 0.2661 0.6651
0.1972 0.7339 0.3349
0.7339 0.1972 0.3349
0.7339 0.7339 0.3349
```

Calculated values
- Formation energy without anion corrections: -1085 meV/atom